# 1
La2PdPtC, relaxed, DFT GGA-PBE; ρ = 8.80 g cm⁻³; energy relative to the elements = -0.6063 eV per atom; space-group type = P4/mmm (123)
1.0
5.360 0.000 0.000
0.000 5.360 0.000
0.000 0.000 3.882
C Pd Pt La
1 1 1 2
Cartesian
0.000 0.000 0.000 C
2.680 2.680 1.941 Pd
0.000 0.000 1.941 Pt
0.000 2.680 0.000 La
2.680 0.000 0.000 La

***

# 2
LaRePdC2, relaxed, DFT GGA-PBE; ρ = 8.95 g cm⁻³; energy relative to the elements = 0.4271 eV per atom; space-group type = P4/mmm (123)
1.0
4.070 0.000 0.000
0.000 5.100 0.000
0.000 0.000 4.070
Re C Pd La
1 2 1 1
Cartesian
0.000 0.000 0.000 Re
0.000 0.000 2.035 C
2.035 0.000 0.000 C
0.000 2.550 0.000 Pd
2.035 2.550 2.035 La

***

# 3
La2PdRuC, relaxed, DFT GGA-PBE; ρ = 7.55 g cm⁻³; energy relative to the elements = -0.3963 eV per atom; space-group type = P4/mmm (123)
1.0
5.306 0.000 0.000
0.000 5.306 0.000
0.000 0.000 3.884
Ru C Pd La
1 1 1 2
Cartesian
0.000 0.000 1.942 Ru
0.000 0.000 0.000 C
2.653 2.653 1.942 Pd
0.000 2.653 0.000 La
2.653 0.000 0.000 La

***

# 4
La8Pd2RuC, relaxed, DFT GGA-PBE; ρ = 6.23 g cm⁻³; energy relative to the elements = -0.3102 eV per atom; space-group type = P2/m (10)
1.0
6.831 -0.051 -0.004
-0.050 6.769 -0.008
0.005 0.011 8.289
La Pd Ru C
8 2 1 1
Cartesian
1.009 5.305 1.923 La
4.702 5.130 8.280 La
5.773 1.418 1.924 La
5.776 1.424 6.354 La
2.083 1.599 -0.003 La
1.012 5.311 6.353 La
4.506 5.021 4.136 La
2.279 1.708 4.141 La
3.394 3.367 6.288 Pd
3.392 3.362 1.989 Pd
0.002 0.005 4.144 Ru
0.000 0.000 0.000 C

***

# 5
La2SbPdC, relaxed, DFT GGA-PBE; ρ = 7.21 g cm⁻³; energy relative to the elements, uncorrected = -286 kJ/mol of formula units; space-group type = P4/mmm (123)
1.0
-1.890 0.689 -5.022
2.397 -4.601 -1.534
-3.365 -2.081 0.981
Sb C Pd La
1 1 1 2
Cartesian
-1.429 -2.996 -2.787 Sb
0.000 0.000 0.000 C
-1.682 -1.040 0.491 Pd
1.199 -2.300 -0.767 La
-0.945 0.345 -2.511 La

***

# 6
LaSn2PdC, relaxed, DFT GGA-PBE; ρ = 5.32 g cm⁻³; energy relative to the elements = 1.4254 eV per atom; space-group type = P4/mmm (123)
1.0
-2.919 -4.018 -3.439
1.492 -3.142 2.406
-4.840 0.447 3.587
C Sn Pd La
1 2 1 1
Cartesian
0.746 -1.571 1.203 C
-2.420 0.224 1.793 Sn
-1.460 -2.009 -1.719 Sn
-3.134 -3.357 1.277 Pd
0.000 0.000 0.000 La